[1]
Density functional theory data (PBE-GGA) for a geometry-optimized Zn7Pd3 structure.

POSCAR file:
```
Zn7Pd3
1.0
7.052 -1.943 0.000
7.052 1.943 0.000
-1.171 0.000 5.295
Zn Pd
7 3
direct
0.000 0.000 0.000
0.202 0.202 0.616
0.394 0.394 0.194
0.401 0.401 0.694
0.599 0.599 0.306
0.606 0.606 0.806
0.798 0.798 0.384
0.000 0.000 0.500
0.191 0.191 0.113
0.809 0.809 0.887
```

Values from the calculation:
DOS at the Fermi energy in states/eV/cell: 3.180
Density in g cm⁻³: 8.89
Formation energy from the elements in kJ/mol of atoms: -36.2
Relative energy among the computed polymorphs in meV per atom: 0.0



[2]
Density functional theory data (PBE-GGA) for a geometry-optimized Cs2BP2 structure.

POSCAR file:
```
Cs2BP2
1.0
6.852 -3.085 0.000
6.852 3.085 0.000
-5.861 0.000 9.212
Cs B P
4 2 4
direct
0.084 0.084 0.343
0.217 0.217 0.076
0.783 0.783 0.924
0.916 0.916 0.657
0.374 0.374 0.871
0.626 0.626 0.129
0.225 0.225 0.727
0.470 0.470 0.086
0.530 0.530 0.914
0.775 0.775 0.273
```

Values from the calculation:
DOS at the Fermi energy in states/eV/cell: 1.780
Density in g cm⁻³: 2.89
Formation energy from the elements in kJ/mol of atoms: -20.4



[3]
Density functional theory data (PBE-GGA) for a geometry-optimized LaBeIr2 structure.

POSCAR file:
```
LaBeIr2
1.0
-1.830 2.588 3.728
1.830 -2.588 3.728
1.830 2.588 -3.728
La Be Ir
1 1 2
direct
0.000 0.000 0.000
0.500 0.500 0.000
0.298 0.798 0.500
0.702 0.202 0.500
```

Values from the calculation:
DOS at the Fermi energy in states/eV/cell: 2.651
Density in g cm⁻³: 12.51
Formation energy from the elements in kJ/mol of atoms: -7.9



[4]
Density functional theory data (PBE-GGA) for a geometry-optimized K3Np2CoSe6 structure.

POSCAR file:
```
K3Np2CoSe6
1.0
3.554 -6.157 0.000
3.554 6.157 0.000
-2.374 0.000 7.649
K Np Co Se
3 2 1 6
direct
0.000 0.000 0.000
0.332 0.668 0.000
0.668 0.332 0.000
0.167 0.833 0.500
0.833 0.167 0.500
0.500 0.500 0.500
0.115 0.434 0.303
0.246 0.246 0.697
0.434 0.115 0.303
0.566 0.885 0.697
0.754 0.754 0.303
0.885 0.566 0.697
```

Values from the calculation:
DOS at the Fermi energy in states/eV/cell: 21.823
E_form (uncorrected) in eV per atom: -0.9834
Density in g cm⁻³: 5.58



[5]
Density functional theory data (PBE-GGA) for a geometry-optimized CsAgHg2 structure.

POSCAR file:
```
CsAgHg2
1.0
2.541 1.467 6.347
-2.541 1.467 6.347
0.000 -2.934 6.347
Cs Ag Hg
1 1 2
direct
0.000 0.000 0.000
0.500 0.500 0.500
0.202 0.202 0.202
0.798 0.798 0.798
```

Values from the calculation:
DOS at the Fermi energy in states/eV/cell: 1.447
Density in g cm⁻³: 7.51
Formation energy from the elements in kJ/mol of atoms: -13.3
Relative energy among the computed polymorphs in meV per atom: 0.0



[6]
Density functional theory data (PBE-GGA) for a geometry-optimized TaTi2GaH structure.

POSCAR file:
```
TaTi2GaH
1.0
4.188 0.000 0.000
0.000 4.188 0.000
0.000 0.000 3.886
Ta Ti Ga H
1 2 1 1
direct
0.000 0.000 0.000
0.000 0.500 0.500
0.500 0.000 0.500
0.500 0.500 0.000
0.000 0.000 0.500
```

Values from the calculation:
DOS at the Fermi energy in states/eV/cell: 4.988
Density in g cm⁻³: 8.47
Relative energy among the computed polymorphs in meV per atom: 0.0



[7]
Density functional theory data (PBE-GGA) for a geometry-optimized BeCdPt2 structure.

POSCAR file:
```
BeCdPt2
1.0
0.000 3.139 3.139
3.139 0.000 3.139
3.139 3.139 0.000
Be Cd Pt
1 1 2
direct
0.000 0.000 0.000
0.250 0.250 0.250
0.500 0.500 0.500
0.750 0.750 0.750
```

Values from the calculation:
DOS at the Fermi energy in states/eV/cell: 1.798
Density in g cm⁻³: 13.73
Formation energy from the elements in kJ/mol of atoms: -6.6
Relative energy among the computed polymorphs in meV per atom: 491.8



[8]
Density functional theory data (PBE-GGA) for a geometry-optimized AgB2Se4 structure.

POSCAR file:
```
AgB2Se4
1.0
2.765 -5.091 0.000
2.765 5.091 0.000
0.000 0.000 10.196
Ag B Se
2 4 8
direct
0.000 0.000 0.250
0.000 0.000 0.750
0.255 0.743 0.000
0.257 0.745 0.500
0.743 0.255 0.500
0.745 0.257 0.000
0.000 0.500 0.151
0.000 0.500 0.849
0.138 0.338 0.500
0.338 0.138 0.000
0.500 0.000 0.349
0.500 0.000 0.651
0.662 0.862 0.000
0.862 0.662 0.500
```

Values from the calculation:
DOS at the Fermi energy in states/eV/cell: 9.303
E_form (uncorrected) in eV per atom: 0.0043
Density in g cm⁻³: 5.15
Relative energy among the computed polymorphs in meV per atom: 0.0



[9]
Density functional theory data (PBE-GGA) for a geometry-optimized Ba3SbC structure.

POSCAR file:
```
Ba3SbC
1.0
5.650 0.000 0.000
0.000 5.650 0.000
0.000 0.000 5.650
Ba Sb C
3 1 1
direct
0.000 0.000 0.500
0.000 0.500 0.000
0.500 0.000 0.000
0.500 0.500 0.500
0.000 0.000 0.000
```

Values from the calculation:
DOS at the Fermi energy in states/eV/cell: 3.702
E_form (uncorrected) in eV per atom: -0.1395
Density in g cm⁻³: 5.03
Relative energy among the computed polymorphs in meV per atom: 0.0



[10]
Density functional theory data (PBE-GGA) for a geometry-optimized LaCeGd2 structure.

POSCAR file:
```
LaCeGd2
1.0
0.000 4.067 4.067
4.067 0.000 4.067
4.067 4.067 0.000
La Ce Gd
1 1 2
direct
0.000 0.000 0.000
0.500 0.500 0.500
0.250 0.250 0.250
0.750 0.750 0.750
```

Values from the calculation:
DOS at the Fermi energy in states/eV/cell: 11.222
Density in g cm⁻³: 7.33
Formation energy from the elements in kJ/mol of atoms: 16.8
Relative energy among the computed polymorphs in meV per atom: 113.2



[11]
Density functional theory data (PBE-GGA) for a geometry-optimized TaSbI2Cl structure.

POSCAR file:
```
TaSbI2Cl
1.0
5.420 0.000 0.000
0.000 5.420 0.000
0.000 0.000 5.513
Ta Sb I Cl
1 1 2 1
direct
0.000 0.000 0.000
0.000 0.000 0.500
0.000 0.500 0.000
0.500 0.000 0.000
0.500 0.500 0.500
```

Values from the calculation:
DOS at the Fermi energy in states/eV/cell: 5.015
E_form (uncorrected) in eV per atom: 0.1595
Density in g cm⁻³: 6.07
Relative energy among the computed polymorphs in meV per atom: 0.0



[12]
Density functional theory data (PBE-GGA) for a geometry-optimized BaPa4Se12 structure.

POSCAR file:
```
BaPa4Se12
1.0
-5.413 5.413 5.413
5.413 -5.413 5.413
5.413 5.413 -5.413
Ba Pa Se
1 4 12
direct
0.000 0.000 0.000
0.000 0.000 0.500
0.000 0.500 0.000
0.500 0.000 0.000
0.500 0.500 0.500
0.059 0.272 0.787
0.213 0.486 0.272
0.213 0.941 0.728
0.272 0.213 0.486
0.272 0.787 0.059
0.486 0.272 0.213
0.514 0.728 0.787
0.728 0.213 0.941
0.728 0.787 0.514
0.787 0.059 0.272
0.787 0.514 0.728
0.941 0.728 0.213
```

Values from the calculation:
DOS at the Fermi energy in states/eV/cell: 9.342
E_form (uncorrected) in eV per atom: -1.1889
Density in g cm⁻³: 5.26